1.
{
  "formula": "Pm2Cd12Hg5",
  "functional": "PBE",
  "state": "optimized geometry",
  "lattice": [[8.465, -3.322, 0.000], [8.465, 3.322, 0.000], [-2.453, 0.000, 8.903]],
  "species": ["Pm", "Pm", "Cd", "Cd", "Cd", "Cd", "Cd", "Cd", "Cd", "Cd", "Cd", "Cd", "Cd", "Cd", "Hg", "Hg", "Hg", "Hg", "Hg"],
  "frac_coords": [[0.245, 0.755, 0.000], [0.755, 0.245, 0.000], [0.025, 0.025, 0.347], [0.068, 0.519, 0.874], [0.103, 0.609, 0.385], [0.391, 0.897, 0.615], [0.397, 0.397, 0.704], [0.481, 0.932, 0.126], [0.519, 0.068, 0.874], [0.603, 0.603, 0.296], [0.609, 0.103, 0.385], [0.897, 0.391, 0.615], [0.932, 0.481, 0.126], [0.975, 0.975, 0.653], [0.133, 0.133, 0.880], [0.205, 0.205, 0.387], [0.500, 0.500, 0.500], [0.795, 0.795, 0.613], [0.867, 0.867, 0.120]],
  "delta_e_f_ev_per_atom": 0.00
}

***

2.
{
  "formula": "NaCaGe",
  "functional": "PBE",
  "state": "optimized geometry",
  "lattice": [[3.516, -2.034, 0.000], [3.516, 2.034, 0.000], [-0.021, 0.000, 13.735]],
  "species": ["Na", "Na", "Ca", "Ca", "Ge", "Ge"],
  "frac_coords": [[0.167, 0.167, 0.395], [0.833, 0.833, 0.605], [0.499, 0.499, 0.824], [0.501, 0.501, 0.176], [0.167, 0.167, 0.037], [0.833, 0.833, 0.963]],
  "delta_e_f_ev_per_atom": -0.18
}

***

3.
{
  "formula": "Sm2ZrO5",
  "functional": "PBE",
  "state": "optimized geometry",
  "lattice": [[9.855, 0.000, 0.000], [0.000, 6.743, 0.000], [0.000, 0.000, 6.132]],
  "species": ["Sm", "Sm", "Sm", "Sm", "Sm", "Sm", "Sm", "Sm", "Zr", "Zr", "Zr", "Zr", "O", "O", "O", "O", "O", "O", "O", "O", "O", "O", "O", "O", "O", "O", "O", "O", "O", "O", "O", "O"],
  "frac_coords": [[0.174, 0.002, 0.023], [0.174, 0.498, 0.023], [0.326, 0.502, 0.523], [0.326, 0.998, 0.523], [0.674, 0.002, 0.477], [0.674, 0.498, 0.477], [0.826, 0.502, 0.977], [0.826, 0.998, 0.977], [0.006, 0.250, 0.560], [0.494, 0.750, 0.060], [0.506, 0.250, 0.940], [0.994, 0.750, 0.440], [0.005, 0.250, 0.938], [0.092, 0.527, 0.655], [0.092, 0.973, 0.655], [0.184, 0.250, 0.338], [0.204, 0.750, 0.317], [0.296, 0.250, 0.817], [0.316, 0.750, 0.838], [0.408, 0.027, 0.155], [0.408, 0.473, 0.155], [0.495, 0.750, 0.438], [0.505, 0.250, 0.562], [0.592, 0.527, 0.845], [0.592, 0.973, 0.845], [0.684, 0.250, 0.162], [0.704, 0.750, 0.183], [0.796, 0.250, 0.683], [0.816, 0.750, 0.662], [0.908, 0.027, 0.345], [0.908, 0.473, 0.345], [0.995, 0.750, 0.062]],
  "formation_energy_uncorrected_ev_per_fu": -27.24
}

***

4.
{
  "formula": "LaTiBe2",
  "functional": "PBE",
  "state": "optimized geometry",
  "lattice": [[-2.174, 2.174, 8.760], [2.174, -2.174, 8.760], [2.174, 2.174, -8.760]],
  "species": ["La", "La", "Ti", "Ti", "Be", "Be", "Be", "Be"],
  "frac_coords": [[0.375, 0.625, 0.750], [0.625, 0.375, 0.250], [0.125, 0.875, 0.250], [0.875, 0.125, 0.750], [0.000, 0.000, 0.000], [0.000, 0.000, 0.500], [0.000, 0.500, 0.000], [0.500, 0.000, 0.500]],
  "delta_e_f_ev_per_atom": 0.57,
  "polymorph_energy_mev_per_atom": 239
}

***

5.
{
  "formula": "SrMgCd4",
  "functional": "PBE",
  "state": "optimized geometry",
  "lattice": [[-6.444, 6.444, 4.011], [6.444, -6.444, 4.011], [6.444, 6.444, -4.011]],
  "species": ["Sr", "Sr", "Sr", "Sr", "Mg", "Mg", "Mg", "Mg", "Cd", "Cd", "Cd", "Cd", "Cd", "Cd", "Cd", "Cd", "Cd", "Cd", "Cd", "Cd", "Cd", "Cd", "Cd", "Cd"],
  "frac_coords": [[0.240, 0.240, 0.000], [0.250, 0.750, 0.500], [0.750, 0.250, 0.500], [0.760, 0.760, 0.000], [0.236, 0.500, 0.736], [0.500, 0.236, 0.736], [0.500, 0.764, 0.264], [0.764, 0.500, 0.264], [0.110, 0.291, 0.401], [0.110, 0.709, 0.819], [0.136, 0.136, 0.649], [0.136, 0.487, 0.000], [0.291, 0.110, 0.401], [0.291, 0.890, 0.181], [0.487, 0.136, 0.000], [0.487, 0.487, 0.351], [0.513, 0.513, 0.649], [0.513, 0.864, 0.000], [0.709, 0.110, 0.819], [0.709, 0.890, 0.599], [0.864, 0.513, 0.000], [0.864, 0.864, 0.351], [0.890, 0.291, 0.181], [0.890, 0.709, 0.599]],
  "delta_e_f_ev_per_atom": -0.09,
  "polymorph_energy_mev_per_atom": 83
}

***

6.
{
  "formula": "SbTeW",
  "functional": "PBE",
  "state": "optimized geometry",
  "lattice": [[7.352, -1.729, 0.000], [7.352, 1.729, 0.000], [-2.382, 0.000, 6.278]],
  "species": ["Sb", "Sb", "Te", "Te", "W", "W"],
  "frac_coords": [[0.161, 0.161, 0.368], [0.839, 0.839, 0.632], [0.403, 0.403, 0.187], [0.597, 0.597, 0.813], [0.240, 0.240, 0.825], [0.760, 0.760, 0.175]],
  "polymorph_energy_mev_per_atom": 0,
  "formation_energy_uncorrected_ev_per_fu": 0.15
}

***

7.
{
  "formula": "LiSi2Cl",
  "functional": "PBE",
  "state": "optimized geometry",
  "lattice": [[2.924, 0.000, 0.000], [0.000, 2.924, 0.000], [0.000, 0.000, 7.705]],
  "species": ["Li", "Si", "Si", "Cl"],
  "frac_coords": [[0.000, 0.000, 0.000], [0.500, 0.500, 0.232], [0.500, 0.500, 0.768], [0.000, 0.000, 0.500]],
  "polymorph_energy_mev_per_atom": 1039,
  "formation_energy_uncorrected_ev_per_fu": 1.47
}

***

8.
{
  "formula": "RbGaRe2C",
  "functional": "PBE",
  "state": "optimized geometry",
  "lattice": [[4.769, 0.000, 0.000], [0.000, 4.769, 0.000], [0.000, 0.000, 6.455]],
  "species": ["Rb", "Ga", "Re", "Re", "C"],
  "frac_coords": [[0.000, 0.000, 0.000], [0.000, 0.000, 0.500], [0.000, 0.500, 0.500], [0.500, 0.000, 0.500], [0.500, 0.500, 0.000]],
  "delta_e_f_ev_per_atom": 2.99
}

***

9.
{
  "formula": "La3In2Cu4",
  "functional": "PBE",
  "state": "optimized geometry",
  "lattice": [[5.186, -2.236, 0.000], [5.186, 2.236, 0.000], [-0.761, 0.000, 9.023]],
  "species": ["La", "La", "La", "In", "In", "Cu", "Cu", "Cu", "Cu"],
  "frac_coords": [[0.000, 0.000, 0.000], [0.372, 0.372, 0.621], [0.628, 0.628, 0.379], [0.321, 0.321, 0.226], [0.679, 0.679, 0.774], [0.073, 0.073, 0.623], [0.281, 0.281, 0.931], [0.719, 0.719, 0.069], [0.927, 0.927, 0.377]],
  "delta_e_f_ev_per_atom": -0.29
}

***

10.
{
  "formula": "Co3SbPt",
  "functional": "PBE",
  "state": "optimized geometry",
  "lattice": [[4.626, 0.000, 0.000], [0.000, 4.626, 0.000], [0.000, 0.000, 4.626]],
  "species": ["Co", "Co", "Co", "Sb", "Pt"],
  "frac_coords": [[0.000, 0.000, 0.500], [0.000, 0.500, 0.000], [0.500, 0.000, 0.000], [0.500, 0.500, 0.500], [0.000, 0.000, 0.000]],
  "polymorph_energy_mev_per_atom": 0,
  "formation_energy_uncorrected_ev_per_fu": 5.23
}

***

11.
{
  "formula": "TbHfTcAg",
  "functional": "PBE",
  "state": "optimized geometry",
  "lattice": [[0.000, 3.423, 3.423], [3.423, 0.000, 3.423], [3.423, 3.423, 0.000]],
  "species": ["Tb", "Hf", "Tc", "Ag"],
  "frac_coords": [[0.000, 0.000, 0.000], [0.500, 0.500, 0.500], [0.250, 0.250, 0.250], [0.750, 0.750, 0.750]],
  "delta_e_f_ev_per_atom": -0.12
}

***

12.
{
  "formula": "LiTbGa3",
  "functional": "PBE",
  "state": "optimized geometry",
  "lattice": [[1.747, -13.035, 0.000], [1.747, 13.035, 0.000], [0.000, 0.000, 4.360]],
  "species": ["Li", "Li", "Tb", "Tb", "Ga", "Ga", "Ga", "Ga", "Ga", "Ga"],
  "frac_coords": [[0.214, 0.786, 0.750], [0.786, 0.214, 0.250], [0.075, 0.925, 0.250], [0.925, 0.075, 0.750], [0.318, 0.682, 0.750], [0.373, 0.627, 0.250], [0.474, 0.526, 0.250], [0.526, 0.474, 0.750], [0.627, 0.373, 0.750], [0.682, 0.318, 0.250]],
  "delta_e_f_ev_per_atom": -0.45
}

***

13.
{
  "formula": "Nd5Ho2Sb5",
  "functional": "PBE",
  "state": "optimized geometry",
  "lattice": [[7.323, -2.226, 0.000], [7.323, 2.226, 0.000], [-4.483, 0.000, 12.026]],
  "species": ["Nd", "Nd", "Nd", "Nd", "Nd", "Ho", "Ho", "Sb", "Sb", "Sb", "Sb", "Sb"],
  "frac_coords": [[0.000, 0.000, 0.000], [0.161, 0.161, 0.539], [0.227, 0.227, 0.846], [0.773, 0.773, 0.154], [0.839, 0.839, 0.461], [0.454, 0.454, 0.710], [0.546, 0.546, 0.290], [0.187, 0.187, 0.288], [0.384, 0.384, 0.076], [0.500, 0.500, 0.500], [0.616, 0.616, 0.924], [0.813, 0.813, 0.712]],
  "formation_energy_uncorrected_ev_per_fu": -10.89
}